--- a ---
{"formula": "Ru2PbBr", "functional": "PBE", "state": "relaxed", "lattice": [[3.0896, 0.0000, 0.0000], [0.0000, 4.4689, 0.0000], [0.0000, 0.0000, 5.4514]], "species": ["Ru", "Ru", "Pb", "Br"], "frac_coords": [[0.0000, 0.0000, 0.0000], [0.5000, 0.0000, 0.5000], [0.0000, 0.5000, 0.5000], [0.5000, 0.5000, 0.0000]], "spacegroup": "No. 47", "crystal_system": "orthorhombic", "n_ef_per_ev_fu": 4.906, "magnetic_moment_mub_per_cell": 0.00}


--- b ---
{"formula": "Ru2PbBr", "functional": "PBE", "state": "relaxed", "lattice": [[5.1975, -1.5679, 0.0000], [5.1975, 1.5679, 0.0000], [-0.6188, 0.0000, 4.6333]], "species": ["Ru", "Ru", "Pb", "Br"], "frac_coords": [[0.0000, 0.0000, 0.0000], [0.7153, 0.7153, 0.2364], [0.2638, 0.2638, 0.7703], [0.5034, 0.5034, 0.4255]], "spacegroup": "No. 8", "crystal_system": "monoclinic", "n_ef_per_ev_fu": 4.428, "magnetic_moment_mub_per_cell": 0.00}


--- c ---
{"formula": "Ru2PbBr", "functional": "PBE", "state": "relaxed", "lattice": [[0.0000, 3.3065, 3.3065], [3.3065, 0.0000, 3.3065], [3.3065, 3.3065, 0.0000]], "species": ["Ru", "Ru", "Pb", "Br"], "frac_coords": [[0.2500, 0.2500, 0.2500], [0.7500, 0.7500, 0.7500], [0.0000, 0.0000, 0.0000], [0.5000, 0.5000, 0.5000]], "spacegroup": "No. 225", "crystal_system": "cubic", "n_ef_per_ev_fu": 6.410, "magnetic_moment_mub_per_cell": 0.00}


Winner for stability: b


--- a ---
{"formula": "Sn2RuPbBr", "functional": "PBE", "state": "relaxed", "lattice": [[5.1340, 0.0000, 0.0000], [0.0000, 5.1340, 0.0000], [0.0000, 0.0000, 5.4008]], "species": ["Sn", "Sn", "Ru", "Pb", "Br"], "frac_coords": [[0.0000, 0.5000, 0.0000], [0.5000, 0.0000, 0.0000], [0.0000, 0.0000, 0.0000], [0.0000, 0.0000, 0.5000], [0.5000, 0.5000, 0.5000]], "spacegroup": "No. 123", "crystal_system": "tetragonal", "n_ef_per_ev_fu": 3.939, "magnetic_moment_mub_per_cell": 0.00}


--- b ---
{"formula": "Sn2RuPbBr", "functional": "PBE", "state": "relaxed", "lattice": [[5.7838, 0.0000, 0.0000], [0.0000, 5.7838, 0.0000], [0.0000, 0.0000, 5.3060]], "species": ["Sn", "Sn", "Ru", "Pb", "Br"], "frac_coords": [[0.0000, 0.5000, 0.0000], [0.5000, 0.0000, 0.0000], [0.0000, 0.0000, 0.5000], [0.0000, 0.0000, 0.0000], [0.5000, 0.5000, 0.5000]], "spacegroup": "No. 123", "crystal_system": "tetragonal", "n_ef_per_ev_fu": 3.685, "magnetic_moment_mub_per_cell": 2.41}


Winner for stability: a


--- a ---
{"formula": "Pb2SBr", "functional": "PBE", "state": "relaxed", "lattice": [[1.9803, 1.1433, 8.6127], [-1.9803, 1.1433, 8.6127], [0.0000, -2.2866, 8.6127]], "species": ["Pb", "Pb", "S", "Br"], "frac_coords": [[0.0000, 0.0000, 0.0000], [0.1873, 0.1873, 0.1873], [0.5901, 0.5901, 0.5901], [0.7626, 0.7626, 0.7626]], "spacegroup": "No. 160", "crystal_system": "trigonal", "n_ef_per_ev_fu": 1.806, "magnetic_moment_mub_per_cell": 0.00}


--- b ---
{"formula": "Pb2SBr", "functional": "PBE", "state": "relaxed", "lattice": [[4.0090, -10.5083, 0.0000], [4.0090, 10.5083, 0.0000], [-3.9599, 0.0000, 6.0036]], "species": ["Pb", "Pb", "Pb", "Pb", "Pb", "Pb", "Pb", "Pb", "S", "S", "S", "S", "Br", "Br", "Br", "Br"], "frac_coords": [[0.0392, 0.4152, 0.7718], [0.1527, 0.2930, 0.1505], [0.2930, 0.1527, 0.6505], [0.4152, 0.0392, 0.2718], [0.5848, 0.9608, 0.7282], [0.7070, 0.8473, 0.3495], [0.8473, 0.7070, 0.8495], [0.9608, 0.5848, 0.2282], [0.0037, 0.9963, 0.2500], [0.2900, 0.7100, 0.2500], [0.7100, 0.2900, 0.7500], [0.9963, 0.0037, 0.7500], [0.1784, 0.8216, 0.7500], [0.4459, 0.5541, 0.7500], [0.5541, 0.4459, 0.2500], [0.8216, 0.1784, 0.2500]], "spacegroup": "No. 15", "crystal_system": "monoclinic", "n_ef_per_ev_fu": 0.562, "magnetic_moment_mub_per_cell": 0.00}


--- c ---
{"formula": "Pb2SBr", "functional": "PBE", "state": "relaxed", "lattice": [[1.9801, 1.1432, 8.5867], [-1.9801, 1.1432, 8.5867], [0.0000, -2.2864, 8.5867]], "species": ["Pb", "Pb", "S", "Br"], "frac_coords": [[0.2400, 0.2400, 0.2400], [0.7600, 0.7600, 0.7600], [0.5000, 0.5000, 0.5000], [0.0000, 0.0000, 0.0000]], "spacegroup": "No. 166", "crystal_system": "trigonal", "n_ef_per_ev_fu": 1.146, "magnetic_moment_mub_per_cell": 0.00}


--- d ---
{"formula": "Pb2SBr", "functional": "PBE", "state": "relaxed", "lattice": [[-3.1839, 3.1839, 7.8178], [3.1839, -3.1839, 7.8178], [3.1839, 3.1839, -7.8178]], "species": ["Pb", "Pb", "Pb", "Pb", "S", "S", "Br", "Br"], "frac_coords": [[0.0696, 0.6250, 0.9446], [0.3750, 0.3196, 0.4446], [0.6804, 0.1250, 0.0554], [0.8750, 0.9304, 0.5554], [0.0000, 0.0000, 0.0000], [0.7500, 0.2500, 0.5000], [0.2500, 0.7500, 0.5000], [0.5000, 0.5000, 0.0000]], "spacegroup": "No. 122", "crystal_system": "tetragonal", "n_ef_per_ev_fu": 2.534, "magnetic_moment_mub_per_cell": 0.00}


Winner for stability: c


--- a ---
{"formula": "PbSBr", "functional": "PBE", "state": "relaxed", "lattice": [[4.8187, -2.3417, 0.0000], [4.8187, 2.3417, 0.0000], [-0.6927, 0.0000, 8.3475]], "species": ["Pb", "Pb", "S", "S", "Br", "Br"], "frac_coords": [[0.1782, 0.1782, 0.2663], [0.8218, 0.8218, 0.7337], [0.3999, 0.3999, 0.5366], [0.6001, 0.6001, 0.4634], [0.1394, 0.1394, 0.8465], [0.8606, 0.8606, 0.1535]], "spacegroup": "No. 12", "crystal_system": "monoclinic", "magnetic_moment_mub_per_cell": 0.00}


--- b ---
{"formula": "PbSBr", "functional": "PBE", "state": "relaxed", "lattice": [[3.9802, -3.9451, 0.0000], [3.9802, 3.9451, 0.0000], [-3.7097, 0.0000, 6.3065]], "species": ["Pb", "Pb", "S", "S", "Br", "Br"], "frac_coords": [[0.2447, 0.7553, 0.0000], [0.7553, 0.2447, 0.0000], [0.6415, 0.6415, 0.8276], [0.8055, 0.8055, 0.1702], [0.0802, 0.0802, 0.7177], [0.3489, 0.3489, 0.2789]], "spacegroup": "No. 8", "crystal_system": "monoclinic", "n_ef_per_ev_fu": 0.000, "magnetic_moment_mub_per_cell": 0.00}


Winner for stability: a


--- a ---
{"formula": "PbSBr", "functional": "PBE", "state": "relaxed", "lattice": [[0.0000, 5.1676, 7.5945], [4.9833, 0.0000, 7.5945], [4.9833, 5.1676, 0.0000]], "species": ["Pb", "Pb", "Pb", "Pb", "S", "S", "S", "S", "Br", "Br", "Br", "Br"], "frac_coords": [[0.1161, 0.6339, 0.1161], [0.3661, 0.8839, 0.3661], [0.6339, 0.1161, 0.6339], [0.8839, 0.3661, 0.8839], [0.0000, 0.5000, 0.5000], [0.5000, 0.0000, 0.5000], [0.5000, 0.5000, 0.0000], [0.5000, 0.5000, 0.5000], [0.0064, 0.0064, 0.7436], [0.2564, 0.2564, 0.9936], [0.7436, 0.7436, 0.0064], [0.9936, 0.9936, 0.2564]], "spacegroup": "No. 70", "crystal_system": "orthorhombic", "n_ef_per_ev_fu": 1.720, "magnetic_moment_mub_per_cell": 0.00}


--- b ---
{"formula": "PbSBr", "functional": "PBE", "state": "relaxed", "lattice": [[4.8618, 0.0000, 0.0000], [-1.3453, 6.4957, 0.0000], [-2.0464, -2.0739, 6.5253]], "species": ["Pb", "Pb", "S", "S", "Br", "Br"], "frac_coords": [[0.0000, 0.0000, 0.0000], [0.3202, 0.4201, 0.6043], [0.1339, 0.9830, 0.6556], [0.5097, 0.8821, 0.6467], [0.0250, 0.5399, 0.9220], [0.6950, 0.3125, 0.3026]], "spacegroup": "No. 1", "crystal_system": "triclinic", "magnetic_moment_mub_per_cell": 0.00}


Winner for stability: b


--- a ---
{"formula": "PbSBr", "functional": "PBE", "state": "relaxed", "lattice": [[5.1242, 0.0000, 0.0000], [-0.8295, 6.0864, 0.0000], [-2.1470, -2.8333, 6.3819]], "species": ["Pb", "Pb", "S", "S", "Br", "Br"], "frac_coords": [[0.1569, 0.1598, 0.3142], [0.8431, 0.8402, 0.6858], [0.3845, 0.1271, 0.9957], [0.6155, 0.8729, 0.0043], [0.1810, 0.6836, 0.3515], [0.8190, 0.3164, 0.6485]], "spacegroup": "No. 2", "crystal_system": "triclinic", "magnetic_moment_mub_per_cell": 0.00}


--- b ---
{"formula": "PbSBr", "functional": "PBE", "state": "relaxed", "lattice": [[4.0834, 0.0000, 0.0000], [-2.0417, 3.5363, 0.0000], [0.0000, 0.0000, 6.3620]], "species": ["Pb", "S", "Br"], "frac_coords": [[0.0000, 0.0000, 0.0000], [0.6667, 0.3333, 0.2223], [0.3333, 0.6667, 0.6854]], "spacegroup": "No. 156", "crystal_system": "trigonal", "n_ef_per_ev_fu": 3.352, "magnetic_moment_mub_per_cell": 0.00}


--- c ---
{"formula": "PbSBr", "functional": "PBE", "state": "relaxed", "lattice": [[5.1728, 0.0000, 0.0000], [2.4419, 4.6093, 0.0000], [2.2411, 1.3724, 8.4347]], "species": ["Pb", "Pb", "S", "S", "Br", "Br"], "frac_coords": [[0.0000, 0.0000, 0.0000], [0.4467, 0.4485, 0.4686], [0.7361, 0.7371, 0.5307], [0.9447, 0.9482, 0.3426], [0.3998, 0.3918, 0.8377], [0.6529, 0.6457, 0.0993]], "spacegroup": "No. 1", "crystal_system": "triclinic", "n_ef_per_ev_fu": 0.000, "magnetic_moment_mub_per_cell": 0.00}


--- d ---
{"formula": "PbSBr", "functional": "PBE", "state": "relaxed", "lattice": [[4.7201, -4.9442, 0.0000], [4.7201, 4.9442, 0.0000], [-1.7792, 0.0000, 3.7402]], "species": ["Pb", "Pb", "S", "S", "Br", "Br"], "frac_coords": [[0.2258, 0.2258, 0.2362], [0.7742, 0.7742, 0.7638], [0.6859, 0.0700, 0.3718], [0.9300, 0.3141, 0.6282], [0.1624, 0.8376, 0.5000], [0.4854, 0.5146, 0.0000]], "spacegroup": "No. 5", "crystal_system": "monoclinic", "n_ef_per_ev_fu": 0.073, "magnetic_moment_mub_per_cell": 0.00}


Winner for stability: a


--- a ---
{"formula": "PbSBr", "functional": "PBE", "state": "relaxed", "lattice": [[4.3059, 0.0000, 0.0000], [-0.2213, 6.1686, 0.0000], [-1.6952, -3.0984, 7.4207]], "species": ["Pb", "Pb", "S", "S", "Br", "Br"], "frac_coords": [[0.1843, 0.1124, 0.2840], [0.8157, 0.8876, 0.7160], [0.4158, 0.1324, 0.9552], [0.5842, 0.8676, 0.0448], [0.1607, 0.6994, 0.3931], [0.8393, 0.3006, 0.6069]], "spacegroup": "No. 2", "crystal_system": "triclinic", "n_ef_per_ev_fu": 0.000, "magnetic_moment_mub_per_cell": 0.00}


--- b ---
{"formula": "PbSBr", "functional": "PBE", "state": "relaxed", "lattice": [[2.9980, -9.0104, 0.0000], [2.9980, 9.0104, 0.0000], [-2.3711, 0.0000, 3.5325]], "species": ["Pb", "Pb", "S", "S", "Br", "Br"], "frac_coords": [[0.1187, 0.8813, 0.0000], [0.8813, 0.1187, 0.0000], [0.0979, 0.0979, 0.5785], [0.7236, 0.7236, 0.0465], [0.4522, 0.8202, 0.2478], [0.8202, 0.4522, 0.2478]], "spacegroup": "No. 8", "crystal_system": "monoclinic", "n_ef_per_ev_fu": 0.000, "magnetic_moment_mub_per_cell": 0.00}


Winner for stability: a


--- a ---
{"formula": "PbSBr", "functional": "PBE", "state": "relaxed", "lattice": [[3.5450, -2.0490, 0.0000], [3.5450, 2.0490, 0.0000], [-2.3293, 0.0000, 6.2151]], "species": ["Pb", "S", "Br"], "frac_coords": [[0.0000, 0.0000, 0.0000], [0.7409, 0.7409, 0.2262], [0.2277, 0.2277, 0.6779]], "spacegroup": "No. 8", "crystal_system": "monoclinic", "n_ef_per_ev_fu": 2.461, "magnetic_moment_mub_per_cell": 0.00}


--- b ---
{"formula": "PbSBr", "functional": "PBE", "state": "relaxed", "lattice": [[5.4141, -2.1198, 0.0000], [5.4141, 2.1198, 0.0000], [-1.8661, 0.0000, 8.1884]], "species": ["Pb", "Pb", "S", "S", "Br", "Br"], "frac_coords": [[0.0000, 0.0000, 0.0000], [0.2121, 0.2121, 0.5513], [0.4608, 0.4608, 0.2037], [0.6546, 0.6546, 0.3145], [0.7245, 0.7245, 0.8723], [0.9477, 0.9477, 0.5912]], "spacegroup": "No. 8", "crystal_system": "monoclinic", "n_ef_per_ev_fu": 0.000, "magnetic_moment_mub_per_cell": 0.00}


Winner for stability: b


--- a ---
{"formula": "PbS3Br", "functional": "PBE", "state": "relaxed", "lattice": [[6.7670, 0.0000, 0.0000], [0.0000, 7.5047, 0.0000], [0.0000, 0.0000, 6.6331]], "species": ["Pb", "Pb", "S", "S", "S", "S", "S", "S", "Br", "Br"], "frac_coords": [[0.0000, 0.0064, 0.0000], [0.5000, 0.9936, 0.5000], [0.0000, 0.2549, 0.4664], [0.2376, 0.2470, 0.2852], [0.2624, 0.7530, 0.7852], [0.5000, 0.7451, 0.9664], [0.7376, 0.7530, 0.7852], [0.7624, 0.2470, 0.2852], [0.0000, 0.7734, 0.3223], [0.5000, 0.2266, 0.8223]], "spacegroup": "No. 31", "crystal_system": "orthorhombic", "n_ef_per_ev_fu": 0.315, "magnetic_moment_mub_per_cell": 0.00}


--- b ---
{"formula": "PbS3Br", "functional": "PBE", "state": "relaxed", "lattice": [[4.9394, 0.0000, 0.0000], [0.0000, 4.9394, 0.0000], [0.0000, 0.0000, 4.9394]], "species": ["Pb", "S", "S", "S", "Br"], "frac_coords": [[0.0000, 0.0000, 0.0000], [0.0000, 0.5000, 0.5000], [0.5000, 0.0000, 0.5000], [0.5000, 0.5000, 0.0000], [0.5000, 0.5000, 0.5000]], "spacegroup": "No. 221", "crystal_system": "cubic", "n_ef_per_ev_fu": 2.823, "magnetic_moment_mub_per_cell": 0.00}


--- c ---
{"formula": "PbS3Br", "functional": "PBE", "state": "relaxed", "lattice": [[5.3078, 0.0000, 0.0000], [0.0000, 5.3078, 0.0000], [0.0000, 0.0000, 5.3078]], "species": ["Pb", "S", "S", "S", "Br"], "frac_coords": [[0.0000, 0.0000, 0.0000], [0.0000, 0.0000, 0.5000], [0.0000, 0.5000, 0.0000], [0.5000, 0.0000, 0.0000], [0.5000, 0.5000, 0.5000]], "spacegroup": "No. 221", "crystal_system": "cubic", "n_ef_per_ev_fu": 5.148, "magnetic_moment_mub_per_cell": 3.52}


Winner for stability: a


--- a ---
{"formula": "Pb3S2Br2", "functional": "PBE", "state": "relaxed", "lattice": [[7.8230, -2.1667, 0.0000], [7.8230, 2.1667, 0.0000], [-2.7505, 0.0000, 7.4041]], "species": ["Pb", "Pb", "Pb", "S", "S", "Br", "Br"], "frac_coords": [[0.0000, 0.0000, 0.0000], [0.2364, 0.2364, 0.7083], [0.7636, 0.7636, 0.2917], [0.1599, 0.1599, 0.3314], [0.8401, 0.8401, 0.6686], [0.3996, 0.3996, 0.1367], [0.6004, 0.6004, 0.8633]], "spacegroup": "No. 12", "crystal_system": "monoclinic", "n_ef_per_ev_fu": 0.000, "magnetic_moment_mub_per_cell": 0.00}


--- b ---
{"formula": "Pb3S2Br2", "functional": "PBE", "state": "relaxed", "lattice": [[4.2521, 0.0000, 0.0000], [2.1260, 7.0428, 0.0000], [0.0109, 1.5000, 7.9054]], "species": ["Pb", "Pb", "Pb", "S", "S", "Br", "Br"], "frac_coords": [[0.0000, 0.0000, 0.0000], [0.2369, 0.5275, 0.7742], [0.7631, 0.4725, 0.2258], [0.3660, 0.2674, 0.0809], [0.6340, 0.7326, 0.9191], [0.1250, 0.7479, 0.3542], [0.8750, 0.2521, 0.6458]], "spacegroup": "No. 2", "crystal_system": "triclinic", "n_ef_per_ev_fu": 0.000, "magnetic_moment_mub_per_cell": 0.00}


Winner for stability: b